[1]
Compound: Cd2Te2O5
Source: the Open Quantum Materials Database
Functional: PBE
Structure: optimized geometry

Geometry as CIF:
```
data_Cd2Te2O5
_space_group_name_H-M_alt 'P 4/m m m'
_space_group_IT_number 123
_space_group_name_Hall '-P 4 2'
_cell_length_a 3.700
_cell_length_b 3.700
_cell_length_c 9.434
_cell_angle_alpha 90.00
_cell_angle_beta 90.00
_cell_angle_gamma 90.00
loop_
_atom_site_label
_atom_site_type_symbol
_atom_site_fract_x
_atom_site_fract_y
_atom_site_fract_z
Cd1 Cd 0.000 0.000 0.237
Te1 Te 0.500 0.500 0.000
Te2 Te 0.500 0.500 0.500
O1 O 0.000 0.000 0.000
O2 O 0.000 0.500 0.373
```

Calculated values
Its energy above the most stable polymorph in this dataset is 114 kJ/mol of formula units.



[2]
Compound: Cd2TeO5
Source: the Open Quantum Materials Database
Functional: PBE
Structure: optimized geometry

Geometry as CIF:
```
data_Cd2TeO5
_space_group_name_H-M_alt 'C 1 2/c 1'
_space_group_IT_number 15
_space_group_name_Hall '-C 2yc'
_cell_length_a 11.696
_cell_length_b 5.488
_cell_length_c 7.388
_cell_angle_alpha 90.00
_cell_angle_beta 117.22
_cell_angle_gamma 90.00
loop_
_atom_site_label
_atom_site_type_symbol
_atom_site_fract_x
_atom_site_fract_y
_atom_site_fract_z
Cd1 Cd 0.147 0.004 0.286
Te1 Te 0.000 0.500 0.000
O1 O 0.000 0.348 0.750
O2 O 0.077 0.199 0.480
O3 O 0.166 0.357 0.152
```

Calculated values
As for the total energy: -4.765 eV per atom.



[3]
Compound: Cd3TeO6
Source: the Open Quantum Materials Database
Functional: PBE
Structure: optimized geometry

Geometry as CIF:
```
data_Cd3TeO6
_space_group_name_H-M_alt 'R -3'
_space_group_IT_number 148
_space_group_name_Hall '-R 3'
_cell_length_a 9.1970
_cell_length_b 9.1970
_cell_length_c 11.1345
_cell_angle_alpha 90.00
_cell_angle_beta 90.00
_cell_angle_gamma 120.00
loop_
_atom_site_label
_atom_site_type_symbol
_atom_site_fract_x
_atom_site_fract_y
_atom_site_fract_z
Cd1 Cd 0.0413 0.2644 0.2114
Te1 Te 0.0000 0.0000 0.0000
Te2 Te 0.0000 0.0000 0.5000
O1 O 0.0250 0.1902 0.4050
O2 O 0.0300 0.1819 0.8941
```

Calculated values
As for the total energy: -4.679 eV per atom.



[4]
Compound: Cd3TeO6
Source: the Open Quantum Materials Database
Functional: PBE
Structure: optimized geometry

Geometry as CIF:
```
data_Cd3TeO6
_space_group_name_H-M_alt 'R -3'
_space_group_IT_number 148
_space_group_name_Hall '-R 3'
_cell_length_a 9.2288
_cell_length_b 9.2288
_cell_length_c 11.2107
_cell_angle_alpha 90.00
_cell_angle_beta 90.00
_cell_angle_gamma 120.00
loop_
_atom_site_label
_atom_site_type_symbol
_atom_site_fract_x
_atom_site_fract_y
_atom_site_fract_z
Cd1 Cd 0.0402 0.7768 0.2120
Te1 Te 0.0000 0.0000 0.0000
Te2 Te 0.0000 0.0000 0.5000
O1 O 0.0289 0.8375 0.4054
O2 O 0.0309 0.8490 0.8943
```

Calculated values
As for the total energy: -4.684 eV per atom.



[5]
Compound: Cd2Te2O7
Source: the Open Quantum Materials Database
Functional: PBE
Structure: optimized geometry

Geometry as CIF:
```
data_Cd2Te2O7
_space_group_name_H-M_alt 'P -1'
_space_group_IT_number 2
_space_group_name_Hall '-P 1'
_cell_length_a 7.449
_cell_length_b 8.346
_cell_length_c 9.897
_cell_angle_alpha 86.19
_cell_angle_beta 78.76
_cell_angle_gamma 77.25
loop_
_atom_site_label
_atom_site_type_symbol
_atom_site_fract_x
_atom_site_fract_y
_atom_site_fract_z
Cd1 Cd 0.000 0.000 0.000
Cd2 Cd 0.191 0.346 0.890
Cd3 Cd 0.258 0.489 0.490
Cd4 Cd 0.307 0.625 0.114
Cd5 Cd 0.500 0.000 0.000
Te1 Te 0.043 0.163 0.638
Te2 Te 0.120 0.262 0.240
Te3 Te 0.375 0.730 0.768
Te4 Te 0.444 0.884 0.358
O1 O 0.004 0.818 0.166
O2 O 0.042 0.346 0.423
O3 O 0.057 0.462 0.141
O4 O 0.114 0.816 0.745
O5 O 0.206 0.151 0.068
O6 O 0.208 0.698 0.344
O7 O 0.211 0.045 0.336
O8 O 0.242 0.282 0.640
O9 O 0.316 0.850 0.933
O10 O 0.357 0.333 0.228
O11 O 0.365 0.535 0.887
O12 O 0.413 0.941 0.656
O13 O 0.428 0.617 0.601
O14 O 0.495 0.187 0.825
```

Calculated values
As for the total energy: -4.954 eV per atom.



[6]
Compound: Cd3TeO6
Source: the Open Quantum Materials Database
Functional: PBE
Structure: optimized geometry

Geometry as CIF:
```
data_Cd3TeO6
_space_group_name_H-M_alt 'R 3'
_space_group_IT_number 146
_space_group_name_Hall 'R 3'
_cell_length_a 5.6086
_cell_length_b 5.6086
_cell_length_c 14.1672
_cell_angle_alpha 90.00
_cell_angle_beta 90.00
_cell_angle_gamma 120.00
loop_
_atom_site_label
_atom_site_type_symbol
_atom_site_fract_x
_atom_site_fract_y
_atom_site_fract_z
Cd1 Cd 0.0000 0.0000 0.0000
Cd2 Cd 0.0000 0.0000 0.2278
Cd3 Cd 0.0000 0.0000 0.4921
Te1 Te 0.0000 0.0000 0.7169
O1 O 0.0202 0.6243 0.4559
O2 O 0.0696 0.3822 0.2979
```

Calculated values
As for the total energy: -4.643 eV per atom.



The V results, record by record, are as follows: 14.35; 13.18; 13.59; 13.78; 13.37; 12.86 A^3/atom.